PmAlCdAu (PBE-GGA, optimized geometry); calculated total energy = -3.6177 eV/atom; energy of formation = -0.446 eV per atom; theoretical density = 9.1 g/cm³
1.0
7.047 0.000 0.000
0.000 7.047 0.000
0.000 0.000 7.047
Pm Al Cd Au
4 4 4 4
direct
0.000 0.000 0.000
0.000 0.500 0.500
0.500 0.000 0.500
0.500 0.500 0.000
0.000 0.000 0.500
0.000 0.500 0.000
0.500 0.000 0.000
0.500 0.500 0.500
0.250 0.250 0.250
0.250 0.750 0.750
0.750 0.250 0.750
0.750 0.750 0.250
0.250 0.250 0.750
0.250 0.750 0.250
0.750 0.250 0.250
0.750 0.750 0.750